No. 1
## ReRu3I (PBE)

Data for an optimized crystal structure of ReRu3I.

Results
**Energy relative to the elements, uncorrected**: 1.69 eV per atom
**Uncorrected energy**: -6.6708 eV/atom
**Density of states at the Fermi level**: 10.6 states/eV per cell
**Space group**: Pm-3m (221)
**Distance to the lowest polymorph of the same formula**: 0.000 eV per formula unit
**Crystal system**: cubic

abc: 4.7561 4.7561 4.7561
angles: 90.00 90.00 90.00
Site moments in Bohr magnetons follow the coordinates.
Atoms (fractional coordinates):
I 0.5000 0.5000 0.5000  0.06
Re 0.0000 0.0000 0.0000  -0.15
Ru 0.0000 0.5000 0.0000  0.74
Ru 0.0000 0.0000 0.5000  0.65
Ru 0.5000 0.0000 0.0000  0.44

=====

No. 2
## CaHf2TaBe (PBE)

Data for an optimized crystal structure of CaHf2TaBe.

Results
**Uncorrected energy**: -6.9033 eV/atom
**Density of states at the Fermi level**: 7.0 states/eV per cell
**Space group**: P4/mmm (123)
**Crystal system**: tetragonal

abc: 4.8643 4.6111 4.8643
angles: 90.00 90.00 90.00
Atoms (fractional coordinates):
Be 0.0000 0.0000 0.0000
Ca 0.5000 0.5000 0.5000
Hf 0.0000 0.0000 0.5000
Hf 0.5000 0.0000 0.0000
Ta 0.0000 0.5000 0.0000

=====

No. 3
## TbCePmGa (PBE)

Data for an optimized crystal structure of TbCePmGa.

Results
**Uncorrected energy**: -4.6368 eV/atom
**Density of states at the Fermi level**: 8.8 states/eV per cell
**Space group**: F-43m (216)
**Crystal system**: cubic

abc: 5.3385 5.3385 5.3385
angles: 60.00 60.00 60.00
Atoms (fractional coordinates):
Tb 0.0000 0.0000 0.0000
Ga 0.2500 0.2500 0.2500
Ce 0.5000 0.5000 0.5000
Pm 0.7500 0.7500 0.7500

=====

No. 4
## Tb3Sc (PBE)

Data for an optimized crystal structure of Tb3Sc.

Results
**Uncorrected energy**: -4.9200 eV/atom
**Density of states at the Fermi level**: 8.4 states/eV per cell
**Space group**: Fm-3m (225)
**Distance to the lowest polymorph of the same formula**: 0.456 eV per formula unit
**Crystal system**: cubic

abc: 5.5511 5.5511 5.5511
angles: 60.00 60.00 60.00
Atoms (fractional coordinates):
Sc 0.5000 0.5000 0.5000
Tb 0.0000 0.0000 0.0000
Tb 0.7500 0.7500 0.7500
Tb 0.2500 0.2500 0.2500